The following is a DFT calculation (GGA+U) of an optimized crystal structure of MnSbF3.

Cell lengths 4.608, 4.608, 4.608 Å; angles 90.00, 90.00, 90.00 degrees
Element x y z (fractional)
Mn 0.000 0.000 0.000
Sb 0.500 0.500 0.500
F 0.000 0.500 0.500
F 0.500 0.000 0.500
F 0.500 0.500 0.000

Excess energy over the best structure of this formula in the dataset ... 0.380 eV per atom